[1]
GaAsAuSe2 | PBE-GGA | relaxed

Lattice parameters (Å, degrees): 4.960 4.960 4.893 90.00 90.00 90.00
Space group P4/mmm (No. 123)
Asymmetric unit:
Ga 0.000 0.000 0.000
As 0.000 0.000 0.500
Au 0.500 0.500 0.500
Se 0.000 0.500 0.000

distance to the lowest polymorph of the same formula = 155.5 meV/atom
total magnetic moment = 0.0 μB per cell


[2]
LiSeI2 | PBE-GGA | relaxed

Lattice parameters (Å, degrees): 5.788 5.788 17.744 90.00 90.00 90.00
Space group I-42d (No. 122)
Asymmetric unit:
Li 0.000 0.000 0.000
Se 0.000 0.000 0.500
I 0.234 0.250 0.625

distance to the lowest polymorph of the same formula = 169.9 meV/atom
total magnetic moment = 0.0 μB per cell


[3]
AlVRh | PBE-GGA | relaxed

Lattice parameters (Å, degrees): 2.658 2.658 13.304 90.00 90.00 90.00
Space group I4mm (No. 107)
Asymmetric unit:
Al 0.000 0.000 0.000
V 0.000 0.000 0.358
Rh 0.000 0.000 0.187

total magnetic moment = 0.0 μB per cell
energy relative to the elements = 0.151 eV per atom


[4]
Pr2SmWN4 | PBE-GGA | relaxed

Lattice parameters (Å, degrees): 3.444 12.165 12.643 90.00 90.00 90.00
Space group Cmcm (No. 63)
Asymmetric unit:
Pr 0.000 0.132 0.038
Sm 0.000 0.413 0.250
W 0.000 0.327 0.750
N 0.000 0.066 0.250
N 0.000 0.228 0.635
N 0.000 0.500 0.000

total DFT energy (no corrections) = -8.458 eV/atom
total magnetic moment = 0.0 μB per cell